An optimized crystal structure of K2NaHgBr5, computed with PBE.

Calculated values
The spin magnetization is 0.0 μB per cell. For the uncorrected formation energy, the calculation gives -1259.3 meV/atom.

Cell lengths 4.3849, 19.8725, 13.9317 Å; angles 90.00, 90.00, 90.00 degrees
Space group Cmc2_1 (No. 36)
Symmetry-distinct sites (fractional):
1 K 0.0000 0.1274 0.0000
2 K 0.0000 0.1417 0.6408
3 Na 0.0000 0.2146 0.3489
4 Hg 0.0000 0.4500 0.7549
5 Br 0.0000 0.0440 0.3689
6 Br 0.0000 0.2937 0.9877
7 Br 0.0000 0.3182 0.6946
8 Br 0.0000 0.3600 0.3228
9 Br 0.0000 0.4927 0.0869


An optimized crystal structure of KNa2HgBr6, computed with PBE.

Calculated values
The spin magnetization is 4.0 μB per cell. For the uncorrected formation energy, the calculation gives -1026.8 meV/atom.

Cell lengths 13.7945, 16.4387, 8.4287 Å; angles 90.00, 119.16, 90.00 degrees
Space group C2/c (No. 15)
Symmetry-distinct sites (fractional):
1 K 0.0000 0.0993 0.2500
2 Na 0.1275 0.4026 0.1053
3 Hg 0.0000 0.1627 0.7500
4 Br 0.1007 0.4386 0.4271
5 Br 0.1147 0.2290 0.0739
6 Br 0.1387 0.0594 0.6993


An optimized crystal structure of KNaHg2Br, computed with PBE.

Calculated values
The spin magnetization is 0.0 μB per cell. For the uncorrected formation energy, the calculation gives -372.3 meV/atom.

Cell lengths 5.5771, 5.5771, 7.4095 Å; angles 90.00, 90.00, 90.00 degrees
Space group P4/mmm (No. 123)
Symmetry-distinct sites (fractional):
1 K 0.0000 0.0000 0.0000
2 Na 0.0000 0.0000 0.5000
3 Hg 0.0000 0.5000 0.5000
4 Br 0.5000 0.5000 0.0000


An optimized crystal structure of KNaHg2Br6, computed with PBE.

Calculated values
The spin magnetization is 0.0 μB per cell. For the uncorrected formation energy, the calculation gives -915.7 meV/atom.

Cell lengths 7.6025, 7.6025, 23.0318 Å; angles 90.00, 90.00, 120.00 degrees
Space group R3 (No. 146, hexagonal axes)
Symmetry-distinct sites (fractional):
1 K 0.0000 0.0000 0.0000
2 Na 0.0000 0.0000 0.5000
3 Hg 0.0000 0.0000 0.2408
4 Hg 0.0000 0.0000 0.7586
5 Br 0.0031 0.3176 0.4217
6 Br 0.0167 0.6684 0.2441


An optimized crystal structure of K2NaHg2Br6, computed with PBE.

Calculated values
The spin magnetization is 0.0 μB per cell. For the uncorrected formation energy, the calculation gives -1029.8 meV/atom.

Cell lengths 13.6610, 8.2346, 8.5931 Å; angles 90.00, 119.96, 90.00 degrees
Space group C2/m (No. 12)
Symmetry-distinct sites (fractional):
1 K 0.2281 0.0000 0.1673
2 Na 0.0000 0.0000 0.5000
3 Hg 0.0479 0.5000 0.1878
4 Br 0.0744 0.2350 0.8047
5 Br 0.2385 0.0000 0.5572


An optimized crystal structure of K2NaHgBr, computed with PBE.

Calculated values
The spin magnetization is 0.0 μB per cell. For the uncorrected formation energy, the calculation gives -595.7 meV/atom.

Cell lengths 6.3863, 6.3863, 5.6837 Å; angles 90.00, 90.00, 90.00 degrees
Space group P4/mmm (No. 123)
Symmetry-distinct sites (fractional):
1 K 0.0000 0.5000 0.0000
2 Na 0.0000 0.0000 0.5000
3 Hg 0.5000 0.5000 0.5000
4 Br 0.0000 0.0000 0.0000